# 1
Here is a relaxed Dy5Er2Bi5 crystal from Alexandria. Energies are from PBE-GGA.

a b c (Å): 4.4287 7.6286 12.7086
angles (deg): 111.32 90.00 106.87
Element x y z (fractional)
Dy 0.5000 0.0000 0.5000
Dy 0.6632 0.3263 0.0302
Dy 0.7095 0.4189 0.3340
Dy 0.2905 0.5811 0.6660
Dy 0.3368 0.6737 0.9698
Er 0.0508 0.1016 0.7889
Er 0.9492 0.8984 0.2111
Bi 0.1192 0.2383 0.4359
Bi 0.6962 0.3924 0.7814
Bi 0.3038 0.6076 0.2186
Bi 0.8808 0.7617 0.5641
Bi 0.0000 0.0000 0.0000

Energy relative to the elements: -0.5755 eV per atom
E_tot: -4.87 eV per atom

***

# 2
Here is a relaxed DyEr4Bi5 crystal from Alexandria. Energies are from PBE-GGA.

a b c (Å): 4.4492 6.2893 11.7673
angles (deg): 105.50 100.90 90.00
Element x y z (fractional)
Dy 0.0000 0.0000 0.0000
Er 0.4001 0.4001 0.8001
Er 0.7995 0.7995 0.5991
Er 0.2005 0.2005 0.4009
Er 0.5999 0.5999 0.1999
Bi 0.6008 0.1008 0.2016
Bi 0.8002 0.3002 0.6005
Bi 0.1998 0.6998 0.3995
Bi 0.0000 0.5000 0.0000
Bi 0.3992 0.8992 0.7984

Energy relative to the elements: -0.8225 eV per atom
E_tot: -5.05 eV per atom

***

# 3
Here is a relaxed Dy4ErBi crystal from Alexandria. Energies are from PBE-GGA.

a b c (Å): 5.1910 5.1919 7.7883
angles (deg): 89.96 89.98 90.00
Element x y z (fractional)
Dy 0.5012 0.9970 0.2555
Dy 0.5013 0.9976 0.7407
Dy 0.0015 0.4973 0.7407
Dy 0.0012 0.4972 0.2556
Er 0.0012 0.9973 0.4981
Bi 0.5014 0.4973 0.9982

Energy relative to the elements: 0.2108 eV per atom
E_tot: -4.26 eV per atom

***

# 4
Here is a relaxed Dy3Er4Bi8 crystal from Alexandria. Energies are from PBE-GGA.

a b c (Å): 8.8683 8.8738 8.8738
angles (deg): 90.02 119.96 119.96
Element x y z (fractional)
Dy 0.5000 0.5000 0.0000
Dy 0.5000 0.0000 0.5000
Dy 0.5000 0.5000 0.5000
Er 0.5000 0.0000 0.0000
Er 0.0000 0.5000 0.0000
Er 0.0000 0.0000 0.0000
Er 0.0000 0.0000 0.5000
Bi 0.5086 0.2535 0.2535
Bi 0.0000 0.7456 0.2544
Bi 0.9983 0.2537 0.2537
Bi 0.5000 0.7507 0.2493
Bi 0.5000 0.2493 0.7507
Bi 0.0017 0.7463 0.7463
Bi 0.0000 0.2544 0.7456
Bi 0.4914 0.7465 0.7465

Energy relative to the elements: -0.6544 eV per atom
E_tot: -4.86 eV per atom

***

The lowest E_tot belongs to which entry? DyEr4Bi5

***

The lowest E_tot belongs to which entry? DyEr4Bi5